Run P
Below is an optimized crystal structure of Be2PPt2, with properties calculated at the PBE-GGA level.

Cell and atoms, written as extended XYZ:
```
5
Lattice="-1.605 1.605 6.228 1.605 -1.605 6.228 1.605 1.605 -6.228" Properties=species:S:1:pos:R:3 pbc="T T T"
Be 1.605 0.000 3.114
Be 0.000 1.605 3.114
P 0.000 0.000 0.000
Pt 0.000 0.000 4.821
Pt 0.000 0.000 7.635
```

Values from the calculation:
Space-group type = I4/mmm (139)


Run Q
Below is an optimized crystal structure of Be2PPt2, with properties calculated at the PBE-GGA level.

Cell and atoms, written as extended XYZ:
```
10
Lattice="6.830 0.000 0.000 0.000 6.830 0.000 0.000 0.000 2.719" Properties=species:S:1:pos:R:3 pbc="T T T"
Be 0.848 2.567 0.000
Be 2.567 5.982 0.000
Be 4.263 0.848 0.000
Be 5.982 4.263 0.000
P 0.000 0.000 1.360
P 3.415 3.415 1.360
Pt 1.150 4.565 1.360
Pt 2.265 1.150 1.360
Pt 4.565 5.680 1.360
Pt 5.680 2.265 1.360
```

Values from the calculation:
Space-group type = P4/mbm (127)


Run R
Below is an optimized crystal structure of Be2PPt2, with properties calculated at the PBE-GGA level.

Cell and atoms, written as extended XYZ:
```
10
Lattice="6.790 0.000 0.000 0.000 6.790 0.000 0.000 0.000 2.752" Properties=species:S:1:pos:R:3 pbc="T T T"
Be 0.850 2.545 0.000
Be 2.545 5.941 0.000
Be 4.245 0.850 0.000
Be 5.941 4.245 0.000
P 0.000 0.000 0.000
P 3.395 3.395 0.000
Pt 1.120 4.515 1.376
Pt 2.275 1.120 1.376
Pt 4.515 5.671 1.376
Pt 5.671 2.275 1.376
```

Values from the calculation:
Space-group type = P4/mbm (127)


Each structure's energy above the most stable one, in meV/atom: run P 55; run Q 0; run R 115.


Run P
Below is an optimized crystal structure of Be3PPt, with properties calculated at the PBE-GGA level.

Cell and atoms, written as extended XYZ:
```
5
Lattice="4.254 0.000 0.000 0.000 4.254 0.000 0.000 0.000 4.254" Properties=species:S:1:pos:R:3 pbc="T T T"
Be 0.000 0.000 2.127
Be 0.000 2.127 0.000
Be 2.127 0.000 0.000
P 2.127 2.127 2.127
Pt 0.000 0.000 0.000
```

Values from the calculation:
Space-group type = Pm-3m (221)


Run Q
Below is an optimized crystal structure of Be3PPt, with properties calculated at the PBE-GGA level.

Cell and atoms, written as extended XYZ:
```
5
Lattice="4.037 0.000 0.000 0.000 4.037 0.000 0.000 0.000 4.037" Properties=species:S:1:pos:R:3 pbc="T T T"
Be 0.000 0.000 2.018
Be 0.000 2.018 0.000
Be 2.018 0.000 0.000
P 0.000 0.000 0.000
Pt 2.018 2.018 2.018
```

Values from the calculation:
Space-group type = Pm-3m (221)


Each structure's energy above the most stable one, in meV/atom: run P 54; run Q 0.


Run P
Below is an optimized crystal structure of BePPt, with properties calculated at the PBE-GGA level.

Cell and atoms, written as extended XYZ:
```
3
Lattice="4.144 0.000 0.000 -2.072 3.589 0.000 0.000 0.000 2.819" Properties=species:S:1:pos:R:3 pbc="T T T"
Be 0.000 0.000 0.000
P 0.000 2.393 0.013
Pt 2.072 1.196 0.008
```

Values from the calculation:
Space-group type = P3m1 (156)


Run Q
Below is an optimized crystal structure of BePPt, with properties calculated at the PBE-GGA level.

Cell and atoms, written as extended XYZ:
```
3
Lattice="-1.678 1.678 3.459 1.678 -1.678 3.459 1.678 1.678 -3.459" Properties=species:S:1:pos:R:3 pbc="T T T"
Be 0.000 0.000 0.000
P 0.000 0.000 2.169
Pt 0.000 0.000 4.540
```

Values from the calculation:
Space-group type = I4mm (107)


Each structure's energy above the most stable one, in meV/atom: run P 90; run Q 0.


Run P
Below is an optimized crystal structure of BePPt, with properties calculated at the PBE-GGA level.

Cell and atoms, written as extended XYZ:
```
3
Lattice="0.000 2.778 2.778 2.778 0.000 2.778 2.778 2.778 0.000" Properties=species:S:1:pos:R:3 pbc="T T T"
Be 0.000 0.000 0.000
P 2.778 2.778 2.778
Pt 4.167 4.167 4.167
```

Values from the calculation:
Space-group type = F-43m (216)


Run Q
Below is an optimized crystal structure of BePPt, with properties calculated at the PBE-GGA level.

Cell and atoms, written as extended XYZ:
```
3
Lattice="-1.367 1.367 5.313 1.367 -1.367 5.313 1.367 1.367 -5.313" Properties=species:S:1:pos:R:3 pbc="T T T"
Be 0.000 0.000 0.000
P 0.000 0.000 3.486
Pt 0.000 0.000 6.699
```

Values from the calculation:
Space-group type = I4mm (107)


Run R
Below is an optimized crystal structure of BePPt, with properties calculated at the PBE-GGA level.

Cell and atoms, written as extended XYZ:
```
3
Lattice="0.000 2.713 2.713 2.713 0.000 2.713 2.713 2.713 0.000" Properties=species:S:1:pos:R:3 pbc="T T T"
Be 0.000 0.000 0.000
P 1.357 1.357 1.357
Pt 4.070 4.070 4.070
```

Values from the calculation:
Space-group type = F-43m (216)


Each structure's energy above the most stable one, in meV/atom: run P 0; run Q 357; run R 205.


Run P
Below is an optimized crystal structure of BeP2PtS, with properties calculated at the PBE-GGA level.

Cell and atoms, written as extended XYZ:
```
5
Lattice="4.558 0.000 0.000 0.000 4.558 0.000 0.000 0.000 5.092" Properties=species:S:1:pos:R:3 pbc="T T T"
Be 0.000 0.000 0.000
P 0.000 2.279 2.546
P 2.279 0.000 2.546
Pt 2.279 2.279 2.546
S 2.279 2.279 0.000
```

Values from the calculation:
Space-group type = P4/mmm (123)


Run Q
Below is an optimized crystal structure of BeP2PtS, with properties calculated at the PBE-GGA level.

Cell and atoms, written as extended XYZ:
```
5
Lattice="4.147 0.000 0.000 0.000 4.147 0.000 0.000 0.000 4.317" Properties=species:S:1:pos:R:3 pbc="T T T"
Be 0.000 0.000 0.000
P 0.000 2.073 0.000
P 2.073 0.000 0.000
Pt 2.073 2.073 2.159
S 0.000 0.000 2.159
```

Values from the calculation:
Space-group type = P4/mmm (123)


Each structure's energy above the most stable one, in meV/atom: run P 437; run Q 0.


Run P
Below is an optimized crystal structure of PuBeP2, with properties calculated at the PBE-GGA level.

Cell and atoms, written as extended XYZ:
```
4
Lattice="2.116 1.222 6.627 -2.116 1.222 6.627 0.000 -2.443 6.627" Properties=species:S:1:pos:R:3 pbc="T T T"
Pu 0.000 0.000 0.000
Be 0.000 0.000 9.940
P 0.000 0.000 7.945
P 0.000 0.000 11.935
```

Values from the calculation:
Space-group type = R-3m (166)


Run Q
Below is an optimized crystal structure of PuBeP2, with properties calculated at the PBE-GGA level.

Cell and atoms, written as extended XYZ:
```
16
Lattice="18.949 0.000 0.000 0.000 3.678 0.000 0.000 0.000 3.677" Properties=species:S:1:pos:R:3 pbc="T T T"
Pu 2.199 0.919 0.917
Pu 7.275 2.758 2.755
Pu 11.673 0.919 0.922
Pu 16.750 2.758 2.760
Be 4.737 0.919 2.754
Be 4.738 2.758 0.916
Be 14.211 0.919 2.761
Be 14.212 2.758 0.922
P 18.948 0.919 2.756
P 0.000 2.758 0.921
P 3.449 2.758 2.754
P 6.025 0.919 0.916
P 9.474 0.919 2.759
P 9.474 2.758 0.918
P 12.924 2.758 2.761
P 15.499 0.919 0.922
```

Values from the calculation:
Space-group type = Pnma (62)


Each structure's energy above the most stable one, in meV/atom: run P 500; run Q 0.


Run P
Below is an optimized crystal structure of RbBe3P, with properties calculated at the PBE-GGA level.

Cell and atoms, written as extended XYZ:
```
5
Lattice="4.549 0.000 0.000 0.000 4.549 0.000 0.000 0.000 4.549" Properties=species:S:1:pos:R:3 pbc="T T T"
Rb 0.000 0.000 0.000
Be 0.000 2.275 2.275
Be 2.275 0.000 2.275
Be 2.275 2.275 0.000
P 2.275 2.275 2.275
```

Values from the calculation:
Space-group type = Pm-3m (221)


Run Q
Below is an optimized crystal structure of RbBe3P, with properties calculated at the PBE-GGA level.

Cell and atoms, written as extended XYZ:
```
5
Lattice="5.178 0.000 0.000 0.000 5.178 0.000 0.000 0.000 5.178" Properties=species:S:1:pos:R:3 pbc="T T T"
Rb 0.000 0.000 0.000
Be 0.000 0.000 2.589
Be 0.000 2.589 0.000
Be 2.589 0.000 0.000
P 2.589 2.589 2.589
```

Values from the calculation:
Space-group type = Pm-3m (221)


Each structure's energy above the most stable one, in meV/atom: run P 0; run Q 1731.


Run P
Below is an optimized crystal structure of BeReP2, with properties calculated at the PBE-GGA level.

Cell and atoms, written as extended XYZ:
```
4
Lattice="3.111 0.000 0.000 0.000 3.753 0.000 0.000 0.000 4.352" Properties=species:S:1:pos:R:3 pbc="T T T"
Be 0.000 0.000 0.000
Re 1.555 0.000 2.176
P 0.000 1.877 2.176
P 1.555 1.877 0.000
```

Values from the calculation:
Space-group type = Pmmm (47)


Run Q
Below is an optimized crystal structure of BeReP2, with properties calculated at the PBE-GGA level.

Cell and atoms, written as extended XYZ:
```
4
Lattice="0.000 2.920 2.920 2.920 0.000 2.920 2.920 2.920 0.000" Properties=species:S:1:pos:R:3 pbc="T T T"
Be 0.000 0.000 0.000
Re 2.920 2.920 2.920
P 1.460 1.460 1.460
P 4.380 4.380 4.380
```

Values from the calculation:
Space-group type = Fm-3m (225)


Run R
Below is an optimized crystal structure of BeReP2, with properties calculated at the PBE-GGA level.

Cell and atoms, written as extended XYZ:
```
4
Lattice="3.038 0.000 0.000 0.000 3.038 0.000 0.000 0.000 6.726" Properties=species:S:1:pos:R:3 pbc="T T T"
Be 0.000 0.000 0.000
Re 1.519 1.519 5.379
P 0.000 0.000 4.196
P 1.519 1.519 1.037
```

Values from the calculation:
Space-group type = P4mm (99)


Run S
Below is an optimized crystal structure of BeReP2, with properties calculated at the PBE-GGA level.

Cell and atoms, written as extended XYZ:
```
4
Lattice="1.506 -2.424 0.000 1.506 2.424 0.000 0.000 0.000 7.240" Properties=species:S:1:pos:R:3 pbc="T T T"
Be 0.000 0.000 0.000
Re 0.000 0.000 3.620
P 1.506 0.000 1.683
P 1.506 0.000 5.557
```

Values from the calculation:
Space-group type = Cmmm (65)


Each structure's energy above the most stable one, in meV/atom: run P 373; run Q 132; run R 0; run S 336.